## TaB2Pt (PBE)

Data for TaB2Pt after structural relaxation.

a = 4.0266 Å, b = 4.0266 Å, c = 4.0266 Å
α = 60.00°, β = 60.00°, γ = 60.00°
Positions (direct):
B: 0.2500 0.2500 0.2500
B: 0.7500 0.7500 0.7500
Pt: 0.5000 0.5000 0.5000
Ta: 0.0000 0.0000 0.0000

Computed properties:
* calculated formation energy: 1.4 eV per formula unit
* electronic total energy: -0.5480 Ry/atom
* SG: Fm-3m (225)
* total magnetization: 0.000 μB/atom
* density of states at the Fermi level: 4.4 states/eV/cell

---

## RbHfSc (PBE)

Data for RbHfSc after structural relaxation.

a = 5.9008 Å, b = 5.9008 Å, c = 6.1891 Å
α = 90.00°, β = 90.00°, γ = 120.00°
Last column: magnetic moment on the atom in μB.
Positions (direct):
Sc: 0.3333 0.6667 0.0021  0.31
Sc: 0.6667 0.3333 0.5021  0.31
Hf: 0.3333 0.6667 0.5020  0.43
Hf: 0.6667 0.3333 0.0020  0.42
Rb: 0.0000 0.0000 0.7460  0.01
Rb: 0.0000 0.0000 0.2460  0.01

Computed properties:
* calculated formation energy: 3.6 eV per formula unit
* polymorph energy (0 for the lowest one): 815.4 meV/atom
* electronic total energy: -0.3354 Ry/atom
* SG: P6_3mc (186)
* total magnetization: 0.385 μB/atom
* density of states at the Fermi level: 10.7 states/eV/cell

---

## ZrScHg4 (PBE)

Data for ZrScHg4 after structural relaxation.

a = 3.3984 Å, b = 5.0923 Å, c = 7.8162 Å
α = 90.00°, β = 77.38°, γ = 90.00°
Positions (direct):
Zr: 0.3618 0.4972 0.0274
Sc: 0.1415 0.9974 0.4677
Hg: 0.8061 0.9972 0.1356
Hg: 0.4757 0.9972 0.7982
Hg: 0.0289 0.4973 0.6954
Hg: 0.6937 0.4973 0.3646

Computed properties:
* calculated formation energy: -0.8 eV per formula unit
* polymorph energy (0 for the lowest one): 48.7 meV/atom
* electronic total energy: -0.2073 Ry/atom
* SG: Pm (6)
* total magnetization: 0.000 μB/atom
* density of states at the Fermi level: 4.0 states/eV/cell

---

- What is the calculated formation energy in the third record?
  -0.8 eV per formula unit

---

- Number 1 is which compound?
  TaB2Pt